Run i
Entry from the Alexandria database: a relaxed structure of ZrNiTe4 (PBE).

Results
Density   6.8 g/cm³

Lattice parameters (Å, degrees): 6.116 6.116 6.116 60.00 60.00 60.00
Atoms (fractional coordinates):
Te  0.875  0.375  0.375
Te  0.375  0.375  0.375
Zr  0.750  0.750  0.750
Te  0.375  0.375  0.875
Te  0.375  0.875  0.375
Ni  0.000  0.000  0.000


Run ii
Entry from the Alexandria database: a relaxed structure of ZrNiTe4 (PBE).

Results
Density   6.3 g/cm³

Lattice parameters (Å, degrees): 3.826 7.931 6.533 113.80 90.00 103.96
Atoms (fractional coordinates):
Zr  0.500  0.000  0.500
Te  0.383  0.767  0.022
Te  0.873  0.747  0.565
Te  0.617  0.233  0.978
Ni  0.000  0.000  0.000
Te  0.127  0.253  0.435


How do the structures above rank in stability at the extremes? run ii comes first and run i comes last.